[1]
Computed, not measured: a relaxed structure of Pr2SmDyTl2 at the GGA-PBE level of DFT.

Cell lengths 5.2132, 10.2845, 6.9548 Å; angles 90.00, 90.00, 90.00 degrees
Sites, in units of the cell vectors:
Pr (0.0000, 0.0454, 0.0000)
Pr (0.0000, 0.9546, 0.5000)
Pr (0.5000, 0.1846, 0.2702)
Pr (0.5000, 0.8154, 0.7702)
Sm (0.5000, 0.4568, 0.9023)
Sm (0.5000, 0.5432, 0.4023)
Dy (0.0000, 0.3146, 0.6211)
Dy (0.0000, 0.6854, 0.1211)
Tl (0.0000, 0.3751, 0.1615)
Tl (0.0000, 0.6249, 0.6615)
Tl (0.5000, 0.1453, 0.7388)
Tl (0.5000, 0.8547, 0.2388)

Properties
Space group ... Pmc2_1, No. 26
Energy of formation ... -0.27 eV/atom
M_tot ... 0.000 μB per cell



[2]
Computed, not measured: a relaxed structure of Pr3Sm2Dy6Tl at the GGA-PBE level of DFT.

Cell lengths 6.1794, 6.1794, 11.8169 Å; angles 95.03, 95.03, 120.04 degrees
Sites, in units of the cell vectors:
Pr (0.0000, 0.0000, 0.0000)
Pr (0.3324, 0.6676, 0.0000)
Pr (0.6676, 0.3324, 0.0000)
Sm (0.1663, 0.8337, 0.5000)
Sm (0.8337, 0.1663, 0.5000)
Dy (0.0916, 0.4190, 0.2553)
Dy (0.2538, 0.2538, 0.7458)
Dy (0.4190, 0.0916, 0.2553)
Dy (0.5810, 0.9084, 0.7447)
Dy (0.7462, 0.7462, 0.2542)
Dy (0.9084, 0.5810, 0.7447)
Tl (0.5000, 0.5000, 0.5000)

Properties
Space group ... C2/m, No. 12
Energy of formation ... -0.02 eV/atom
M_tot ... 0.003 μB per cell



[3]
Computed, not measured: a relaxed structure of Pr4Sm2DyTm at the GGA-PBE level of DFT.

Cell lengths 5.1636, 5.1926, 10.1863 Å; angles 90.00, 90.06, 90.00 degrees
Sites, in units of the cell vectors:
Pr (0.9998, 0.0000, 0.2487)
Pr (0.0002, 0.0000, 0.7513)
Pr (0.5001, 0.5000, 0.2495)
Pr (0.4999, 0.5000, 0.7505)
Sm (0.0000, 0.5000, 0.0000)
Sm (0.5000, 0.0000, 0.5000)
Dy (0.0000, 0.5000, 0.5000)
Tm (0.5000, 0.0000, 0.0000)

Properties
Space group ... P2/m, No. 10
Energy of formation ... 0.02 eV/atom
M_tot ... 0.000 μB per cell